Material: PmHo8Th2
Method: DFT, PBE-GGA
State: relaxed

```
PmHo8Th2
1.0
5.5017 -0.5582 -0.3899
0.8115 9.7578 2.5456
0.8115 5.7482 8.2857
Th Ho Pm
2 8 1
direct
0.2605 0.7175 0.7175
0.7395 0.2825 0.2825
0.7377 0.8625 0.4018
0.7611 0.4529 0.4529
0.7666 0.8172 0.8172
0.2623 0.1375 0.5982
0.2623 0.5982 0.1375
0.2334 0.1828 0.1828
0.2389 0.5471 0.5471
0.7377 0.4018 0.8625
0.0000 0.0000 0.0000
```

Results
Excess energy over the best structure of this formula in the dataset ... 0 meV per atom
Calculated formation energy ... 185.2 meV per atom
SG ... C2/m (12)


Material: Pm6Tm2Sc3
Method: DFT, PBE-GGA
State: relaxed

```
Pm6Tm2Sc3
1.0
7.5051 -1.6789 1.6037
-2.2863 7.7157 3.1057
3.2143 6.3668 10.4525
Pm Tm Sc
6 2 3
direct
0.0923 0.6288 0.7323
0.8022 0.7201 0.5483
0.1978 0.2799 0.4517
0.7324 0.0928 0.8167
0.2676 0.9072 0.1833
0.9077 0.3712 0.2677
0.6429 0.4575 0.0886
0.3571 0.5425 0.9114
0.4534 0.1898 0.6338
0.0000 0.0000 0.0000
0.5466 0.8102 0.3662
```

Results
Calculated formation energy ... 49.3 meV per atom
SG ... P-1 (2)


Material: Li2AcP2
Method: DFT, PBE-GGA
State: relaxed

```
Li2AcP2
1.0
-1.5279 3.4309 2.2831
2.5786 -2.9712 1.9599
11.0976 7.2971 -3.5387
Li P Ac
4 4 2
direct
0.3333 0.6667 0.0626
0.6667 0.3333 0.9374
0.3333 0.6667 0.4374
0.6667 0.3333 0.5626
0.3333 0.6667 0.6249
0.6667 0.3333 0.1249
0.6667 0.3333 0.3751
0.3333 0.6667 0.8751
0.0000 0.0000 0.2500
0.0000 0.0000 0.7500
```

Results
Excess energy over the best structure of this formula in the dataset ... 140 meV per atom
Calculated formation energy ... -791.3 meV per atom
SG ... P6_3/mmc (194)


Material: NaCdAg
Method: DFT, PBE-GGA
State: relaxed

```
NaCdAg
1.0
4.8233 0.0000 0.0000
2.4117 4.1771 0.0000
2.4117 1.3924 3.9382
Cd Na Ag
1 1 1
direct
0.5000 0.5000 0.5000
0.0000 0.0000 0.0000
0.2500 0.2500 0.2500
```

Results
Excess energy over the best structure of this formula in the dataset ... 136 meV per atom
Calculated formation energy ... 25.2 meV per atom
SG ... F-43m (216)


Material: SiIrO
Method: DFT, PBE-GGA
State: relaxed

```
SiIrO
1.0
-0.1834 0.6981 2.6474
-1.8709 -1.6720 -1.1108
7.3130 -10.3288 3.2303
O Ir Si
2 2 2
direct
0.3333 0.6667 0.0838
0.3333 0.6667 0.9162
0.0000 0.0000 0.3616
0.0000 0.0000 0.6384
0.0000 0.0000 0.0000
0.3333 0.6667 0.5000
```

Results
Raw formation energy ... -0.803 eV/atom
Excess energy over the best structure of this formula in the dataset ... 349 meV per atom
SG ... P-6m2 (187)


Material: RbCa4Cl8
Method: DFT, PBE-GGA
State: relaxed

```
RbCa4Cl8
1.0
8.6048 0.0000 0.0000
4.3024 7.4520 0.0000
4.3024 2.4840 7.0258
Cl Rb Ca
8 1 4
direct
0.1425 0.5726 0.1425
0.5726 0.1425 0.1425
0.6031 0.6031 0.1906
0.6031 0.6031 0.6031
0.6031 0.1906 0.6031
0.1906 0.6031 0.6031
0.1425 0.1425 0.5726
0.1425 0.1425 0.1425
0.7500 0.7500 0.7500
0.3719 0.3719 0.3719
0.3719 0.3719 0.8842
0.3719 0.8842 0.3719
0.8842 0.3719 0.3719
```

Results
Raw formation energy ... -2.153 eV/atom
SG ... F-43m (216)


Material: ScV4Sn
Method: DFT, PBE-GGA
State: relaxed

```
ScV4Sn
1.0
-3.2088 3.8605 -1.2132
-5.0471 -0.4233 1.0099
-2.1340 2.8551 3.7371
V Sc Sn
4 1 1
direct
0.6287 0.6287 0.1139
0.6287 0.1139 0.6287
0.1139 0.6287 0.6287
0.6287 0.6287 0.6287
0.0000 0.0000 0.0000
0.2500 0.2500 0.2500
```

Results
Calculated formation energy ... 27.8 meV per atom
SG ... F-43m (216)


Material: Hf5Fe4Ni
Method: DFT, PBE-GGA
State: relaxed

```
Hf5Fe4Ni
1.0
-1.9924 1.0245 2.1648
0.6578 -2.4735 1.7761
11.8393 8.1898 7.0208
Fe Hf Ni
4 5 1
direct
0.0000 0.0000 0.7969
0.0000 0.0000 0.2031
0.0000 0.0000 0.4013
0.0000 0.0000 0.5987
0.5000 0.5000 0.3024
0.5000 0.5000 0.1039
0.5000 0.5000 0.6976
0.5000 0.5000 0.5000
0.5000 0.5000 0.8961
0.0000 0.0000 0.0000
```

Results
Calculated formation energy ... -336.0 meV per atom
SG ... P4/mmm (123)